1.
The following is a DFT calculation (PBE) of an optimized crystal structure of La3SmTh.

Properties
- ΔE to the lowest computed polymorph: 0.000 eV per atom

Geometry as CIF:
```
data_La3SmTh
_symmetry_space_group_name_H-M 'P 63 m c'
_symmetry_Int_Tables_number 186
_symmetry_space_group_name_Hall 'P 6c -2c'
_cell_length_a 3.6682
_cell_length_b 3.6682
_cell_length_c 30.1375
_cell_angle_alpha 90.00
_cell_angle_beta 90.00
_cell_angle_gamma 120.00
loop_
_atom_site_label
_atom_site_fract_x
_atom_site_fract_y
_atom_site_fract_z
La1 0.0000 0.0000 0.0000
La2 0.3333 0.6667 0.1065
La3 0.3333 0.6667 0.7976
Sm1 0.3333 0.6667 0.4024
Th1 0.0000 0.0000 0.2021
```



2.
The following is a DFT calculation (PBE) of an optimized crystal structure of CrAg2Te.

Properties
- Raw formation energy: 0.9 eV/f.u.

Geometry as CIF:
```
data_CrAg2Te
_symmetry_space_group_name_H-M 'C 1 2/m 1'
_symmetry_Int_Tables_number 12
_cell_length_a 10.467
_cell_length_b 4.075
_cell_length_c 4.078
_cell_angle_alpha 90.00
_cell_angle_beta 112.82
_cell_angle_gamma 90.00
loop_
_symmetry_equiv_pos_as_xyz
'x,y,z'
'-x,-y,-z'
'-x,y,-z'
'x,-y,z'
'x+1/2,y+1/2,z'
'-x+1/2,-y+1/2,-z'
'-x+1/2,y+1/2,-z'
'x+1/2,-y+1/2,z'
loop_
_atom_site_label
_atom_site_fract_x
_atom_site_fract_y
_atom_site_fract_z
Cr1 0.000 0.000 0.000
Ag1 0.250 0.000 0.750
Te1 0.000 0.500 0.500
```



3.
The following is a DFT calculation (PBE) of an optimized crystal structure of Tb4ThHg.

Properties
- ΔE to the lowest computed polymorph: 0.000 eV per atom

Geometry as CIF:
```
data_Tb4ThHg
_symmetry_space_group_name_H-M 'P 4/m m m'
_symmetry_Int_Tables_number 123
_symmetry_space_group_name_Hall '-P 4 2'
_cell_length_a 3.599
_cell_length_b 3.599
_cell_length_c 13.991
_cell_angle_alpha 90.00
_cell_angle_beta 90.00
_cell_angle_gamma 90.00
loop_
_atom_site_label
_atom_site_fract_x
_atom_site_fract_y
_atom_site_fract_z
Tb1 0.000 0.000 0.143
Tb2 0.500 0.500 0.327
Th1 0.000 0.000 0.500
Hg1 0.500 0.500 0.000
```



4.
The following is a DFT calculation (PBE) of an optimized crystal structure of VHPd4.

Properties
- ΔE to the lowest computed polymorph: 0.230 eV per atom

Geometry as CIF:
```
data_VHPd4
_symmetry_space_group_name_H-M 'I 41/a m d'
_symmetry_Int_Tables_number 141
_cell_length_a 7.708
_cell_length_b 7.708
_cell_length_c 6.142
_cell_angle_alpha 90.00
_cell_angle_beta 90.00
_cell_angle_gamma 90.00
loop_
_symmetry_equiv_pos_as_xyz
'x,y,z'
'-x,-y,-z'
'-y+1/4,x+3/4,z+1/4'
'y+1/4,-x+3/4,-z+1/4'
'-x+1/2,-y,z+1/2'
'x+1/2,y,-z+1/2'
'y+1/4,-x+1/4,z+3/4'
'-y+1/4,x+1/4,-z+3/4'
'x,-y,-z'
'-x,y,z'
'-y+1/4,-x+1/4,-z+3/4'
'y+1/4,x+1/4,z+3/4'
'-x+1/2,y,-z+1/2'
'x+1/2,-y,z+1/2'
'y+1/4,x+3/4,-z+1/4'
'-y+1/4,-x+3/4,z+1/4'
'x+1/2,y+1/2,z+1/2'
'-x+1/2,-y+1/2,-z+1/2'
'-y+3/4,x+1/4,z+3/4'
'y+3/4,-x+1/4,-z+3/4'
'-x,-y+1/2,z'
'x,y+1/2,-z'
'y+3/4,-x+3/4,z+1/4'
'-y+3/4,x+3/4,-z+1/4'
'x+1/2,-y+1/2,-z+1/2'
'-x+1/2,y+1/2,z+1/2'
'-y+3/4,-x+3/4,-z+1/4'
'y+3/4,x+3/4,z+1/4'
'-x,y+1/2,-z'
'x,-y+1/2,z'
'y+3/4,x+1/4,-z+3/4'
'-y+3/4,-x+1/4,z+3/4'
loop_
_atom_site_label
_atom_site_fract_x
_atom_site_fract_y
_atom_site_fract_z
V1 0.000 0.250 0.375
H1 0.000 0.250 0.875
Pd1 0.000 0.060 0.708
```



5.
The following is a DFT calculation (PBE) of an optimized crystal structure of BaErAg.

Properties
- ΔE to the lowest computed polymorph: 0.047 eV per atom

Geometry as CIF:
```
data_BaErAg
_symmetry_space_group_name_H-M 'I 4 m m'
_symmetry_Int_Tables_number 107
_symmetry_space_group_name_Hall 'I 4 -2'
_cell_length_a 3.844
_cell_length_b 3.844
_cell_length_c 13.741
_cell_angle_alpha 90.00
_cell_angle_beta 90.00
_cell_angle_gamma 90.00
loop_
_atom_site_label
_atom_site_fract_x
_atom_site_fract_y
_atom_site_fract_z
Ba1 0.000 0.000 0.000
Er1 0.000 0.000 0.272
Ag1 0.000 0.000 0.675
```



6.
The following is a DFT calculation (PBE) of an optimized crystal structure of Ba2AlGa.

Properties
- ΔE to the lowest computed polymorph: 0.519 eV per atom

Geometry as CIF:
```
data_Ba2AlGa
_symmetry_space_group_name_H-M 'I -4 2 d'
_symmetry_Int_Tables_number 122
_symmetry_space_group_name_Hall 'I -4 2bw'
_cell_length_a 9.214
_cell_length_b 9.214
_cell_length_c 7.398
_cell_angle_alpha 90.00
_cell_angle_beta 90.00
_cell_angle_gamma 90.00
loop_
_atom_site_label
_atom_site_fract_x
_atom_site_fract_y
_atom_site_fract_z
Ba1 0.236 0.250 0.125
Al1 0.000 0.000 0.500
Ga1 0.000 0.000 0.000
```



7.
The following is a DFT calculation (PBE) of an optimized crystal structure of AlSnPb.

Properties
- ΔE to the lowest computed polymorph: 0.022 eV per atom

Geometry as CIF:
```
data_AlSnPb
_symmetry_space_group_name_H-M 'P 1'
_symmetry_Int_Tables_number 1
_cell_length_a 3.314
_cell_length_b 5.937
_cell_length_c 8.492
_cell_angle_alpha 74.01
_cell_angle_beta 89.93
_cell_angle_gamma 89.88
loop_
_symmetry_equiv_pos_as_xyz
'x,y,z'
loop_
_atom_site_label
_atom_site_fract_x
_atom_site_fract_y
_atom_site_fract_z
Al1 0.000 0.000 0.000
Al2 0.500 0.335 0.812
Sn1 0.001 0.494 0.063
Sn2 0.003 0.968 0.339
Pb1 0.499 0.443 0.440
Pb2 0.500 0.865 0.708
```



8.
The following is a DFT calculation (PBE) of an optimized crystal structure of MoPb2.

Properties
- ΔE to the lowest computed polymorph: 0.269 eV per atom

Geometry as CIF:
```
data_MoPb2
_symmetry_space_group_name_H-M 'P n n m'
_symmetry_Int_Tables_number 58
_cell_length_a 7.332
_cell_length_b 7.361
_cell_length_c 3.138
_cell_angle_alpha 90.00
_cell_angle_beta 90.00
_cell_angle_gamma 90.00
loop_
_symmetry_equiv_pos_as_xyz
'x,y,z'
'-x,-y,-z'
'-x,-y,z'
'x,y,-z'
'x+1/2,-y+1/2,-z+1/2'
'-x+1/2,y+1/2,z+1/2'
'-x+1/2,y+1/2,-z+1/2'
'x+1/2,-y+1/2,z+1/2'
loop_
_atom_site_label
_atom_site_fract_x
_atom_site_fract_y
_atom_site_fract_z
Mo1 0.000 0.000 0.000
Pb1 0.231 0.230 0.500
```